No. 1
{"formula": "ErTaFe10", "functional": "PBE-GGA", "state": "relaxed", "cell": [[3.971, 0.000, 0.000], [0.000, 4.823, 0.000], [0.000, 0.000, 8.338]], "species": ["Er", "Ta", "Fe", "Fe", "Fe", "Fe", "Fe", "Fe", "Fe", "Fe", "Fe", "Fe"], "frac_coords": [[0.000, 0.000, 0.000], [0.000, 0.500, 0.500], [0.000, 0.000, 0.343], [0.000, 0.000, 0.657], [0.000, 0.500, 0.179], [0.000, 0.500, 0.821], [0.500, 0.000, 0.500], [0.500, 0.253, 0.258], [0.500, 0.253, 0.742], [0.500, 0.500, 0.000], [0.500, 0.747, 0.258], [0.500, 0.747, 0.742]], "n_ef_per_ev_cell": 12.83, "m_tot_mub_per_atom": 1.488, "spacegroup": "Pmmm", "e_form_mev_per_atom": 14}

=====

No. 2
{"formula": "ErTaFe2", "functional": "PBE-GGA", "state": "relaxed", "cell": [[3.109, 0.000, 0.000], [0.000, 3.109, 0.000], [0.000, 0.000, 6.564]], "species": ["Er", "Ta", "Fe", "Fe"], "frac_coords": [[0.000, 0.000, 0.000], [0.000, 0.000, 0.500], [0.500, 0.500, 0.284], [0.500, 0.500, 0.716]], "n_ef_per_ev_cell": 1.44, "m_tot_mub_per_atom": 0.092, "spacegroup": "P4/mmm", "e_form_mev_per_atom": -66}

=====

No. 3
{"formula": "ErTaFe", "functional": "PBE-GGA", "state": "relaxed", "cell": [[4.070, 0.000, 0.000], [0.000, 15.237, 0.000], [0.000, 0.000, 4.278]], "species": ["Er", "Er", "Er", "Er", "Ta", "Ta", "Ta", "Ta", "Fe", "Fe", "Fe", "Fe"], "frac_coords": [[0.000, 0.092, 0.250], [0.000, 0.908, 0.750], [0.500, 0.408, 0.750], [0.500, 0.592, 0.250], [0.000, 0.250, 0.750], [0.000, 0.750, 0.250], [0.500, 0.250, 0.250], [0.500, 0.750, 0.750], [0.000, 0.338, 0.250], [0.000, 0.662, 0.750], [0.500, 0.162, 0.750], [0.500, 0.838, 0.250]], "n_ef_per_ev_cell": 11.97, "m_tot_mub_per_atom": 0.000, "spacegroup": "Cmcm", "e_form_mev_per_atom": 129}

=====

No. 4
{"formula": "ErTa2Fe9", "functional": "PBE-GGA", "state": "relaxed", "cell": [[2.444, 1.411, 7.850], [-2.444, 1.411, 7.850], [0.000, -2.822, 7.850]], "species": ["Er", "Ta", "Ta", "Fe", "Fe", "Fe", "Fe", "Fe", "Fe", "Fe", "Fe", "Fe"], "frac_coords": [[0.000, 0.000, 0.000], [0.144, 0.144, 0.144], [0.856, 0.856, 0.856], [0.082, 0.589, 0.589], [0.334, 0.334, 0.334], [0.411, 0.411, 0.918], [0.411, 0.918, 0.411], [0.500, 0.500, 0.500], [0.589, 0.082, 0.589], [0.589, 0.589, 0.082], [0.666, 0.666, 0.666], [0.918, 0.411, 0.411]], "n_ef_per_ev_cell": 10.60, "m_tot_mub_per_atom": 1.317, "spacegroup": "R-3m", "e_form_mev_per_atom": -151}

=====

No. 5
{"formula": "ErTaFe4", "functional": "PBE-GGA", "state": "relaxed", "cell": [[0.000, 3.512, 3.512], [3.512, 0.000, 3.512], [3.512, 3.512, 0.000]], "species": ["Er", "Ta", "Fe", "Fe", "Fe", "Fe"], "frac_coords": [[0.000, 0.000, 0.000], [0.250, 0.250, 0.250], [0.127, 0.624, 0.624], [0.624, 0.127, 0.624], [0.624, 0.624, 0.127], [0.624, 0.624, 0.624]], "relative_energy_mev_per_atom": 24.2, "n_ef_per_ev_cell": 3.62, "m_tot_mub_per_atom": 1.094, "spacegroup": "F-43m", "e_form_mev_per_atom": -109}

=====

No. 6
{"formula": "Tb2ErFe", "functional": "PBE-GGA", "state": "relaxed", "cell": [[7.063, 0.000, 0.000], [0.000, 9.191, 0.000], [0.000, 0.000, 6.231]], "species": ["Tb", "Tb", "Tb", "Tb", "Tb", "Tb", "Tb", "Tb", "Er", "Er", "Er", "Er", "Fe", "Fe", "Fe", "Fe"], "frac_coords": [[0.174, 0.067, 0.173], [0.174, 0.433, 0.173], [0.326, 0.567, 0.673], [0.326, 0.933, 0.673], [0.674, 0.067, 0.327], [0.674, 0.433, 0.327], [0.826, 0.567, 0.827], [0.826, 0.933, 0.827], [0.049, 0.250, 0.641], [0.451, 0.750, 0.141], [0.549, 0.250, 0.859], [0.951, 0.750, 0.359], [0.111, 0.750, 0.967], [0.389, 0.250, 0.467], [0.611, 0.750, 0.533], [0.889, 0.250, 0.033]], "relative_energy_mev_per_atom": 0.0, "n_ef_per_ev_cell": 14.35, "m_tot_mub_per_atom": 0.000, "spacegroup": "Pnma", "e_form_mev_per_atom": -6}

=====

No. 7
{"formula": "TbEr3Fe8", "functional": "PBE-GGA", "state": "relaxed", "cell": [[2.556, 1.476, 8.328], [-2.556, 1.476, 8.328], [0.000, -2.952, 8.328]], "species": ["Tb", "Er", "Er", "Er", "Fe", "Fe", "Fe", "Fe", "Fe", "Fe", "Fe", "Fe"], "frac_coords": [[0.000, 0.000, 0.000], [0.125, 0.125, 0.125], [0.500, 0.500, 0.500], [0.625, 0.625, 0.625], [0.062, 0.062, 0.561], [0.062, 0.561, 0.062], [0.064, 0.563, 0.563], [0.312, 0.312, 0.312], [0.561, 0.062, 0.062], [0.563, 0.064, 0.563], [0.563, 0.563, 0.064], [0.813, 0.813, 0.813]], "n_ef_per_ev_cell": 16.94, "m_tot_mub_per_atom": 1.106, "spacegroup": "R3m", "e_form_mev_per_atom": -106}

=====

No. 8
{"formula": "TbErFe10", "functional": "PBE-GGA", "state": "relaxed", "cell": [[3.946, 0.000, 0.000], [0.000, 4.991, 0.000], [0.000, 0.000, 8.611]], "species": ["Tb", "Er", "Fe", "Fe", "Fe", "Fe", "Fe", "Fe", "Fe", "Fe", "Fe", "Fe"], "frac_coords": [[0.000, 0.000, 0.000], [0.000, 0.500, 0.500], [0.000, 0.000, 0.335], [0.000, 0.000, 0.665], [0.000, 0.500, 0.168], [0.000, 0.500, 0.832], [0.500, 0.000, 0.500], [0.500, 0.251, 0.252], [0.500, 0.251, 0.748], [0.500, 0.500, 0.000], [0.500, 0.749, 0.252], [0.500, 0.749, 0.748]], "n_ef_per_ev_cell": 10.67, "m_tot_mub_per_atom": 1.607, "spacegroup": "Pmmm", "e_form_mev_per_atom": -52}

=====

No. 9
{"formula": "TbEr6Fe2", "functional": "PBE-GGA", "state": "relaxed", "cell": [[-4.764, 4.892, 4.974], [4.764, -4.892, 4.974], [4.764, 4.892, -4.974]], "species": ["Tb", "Tb", "Er", "Er", "Er", "Er", "Er", "Er", "Er", "Er", "Er", "Er", "Er", "Er", "Fe", "Fe", "Fe", "Fe"], "frac_coords": [[0.000, 0.000, 0.000], [0.500, 0.500, 0.000], [0.025, 0.242, 0.783], [0.187, 0.283, 0.470], [0.187, 0.717, 0.903], [0.322, 0.005, 0.683], [0.322, 0.640, 0.317], [0.459, 0.242, 0.217], [0.541, 0.758, 0.783], [0.678, 0.360, 0.683], [0.678, 0.995, 0.317], [0.813, 0.283, 0.097], [0.813, 0.717, 0.530], [0.975, 0.758, 0.217], [0.109, 0.609, 0.500], [0.307, 0.000, 0.307], [0.693, 0.000, 0.693], [0.891, 0.391, 0.500]], "n_ef_per_ev_cell": 19.42, "m_tot_mub_per_atom": 0.054, "spacegroup": "Immm", "e_form_mev_per_atom": 32}

=====

No. 10
{"formula": "TbEr2Fe", "functional": "PBE-GGA", "state": "relaxed", "cell": [[3.326, 0.000, 0.000], [0.000, 3.326, 0.000], [0.000, 0.000, 8.941]], "species": ["Tb", "Er", "Er", "Fe"], "frac_coords": [[0.000, 0.000, 0.000], [0.500, 0.500, 0.322], [0.500, 0.500, 0.678], [0.000, 0.000, 0.500]], "relative_energy_mev_per_atom": 83.7, "n_ef_per_ev_cell": 3.00, "m_tot_mub_per_atom": 0.000, "spacegroup": "P4/mmm", "e_form_mev_per_atom": 59}

=====

No. 11
{"formula": "Tb2ErFe", "functional": "PBE-GGA", "state": "relaxed", "cell": [[3.471, 0.000, 0.000], [0.000, 3.471, 0.000], [0.000, 0.000, 8.549]], "species": ["Tb", "Tb", "Er", "Fe"], "frac_coords": [[0.000, 0.000, 0.190], [0.000, 0.000, 0.810], [0.500, 0.500, 0.500], [0.500, 0.500, 0.000]], "relative_energy_mev_per_atom": 112.3, "n_ef_per_ev_cell": 6.08, "m_tot_mub_per_atom": 0.521, "spacegroup": "P4/mmm", "e_form_mev_per_atom": 106}

=====

No. 12
{"formula": "Tb3ErFe8", "functional": "PBE-GGA", "state": "relaxed", "cell": [[2.569, 1.483, 8.380], [-2.569, 1.483, 8.380], [0.000, -2.967, 8.380]], "species": ["Tb", "Tb", "Tb", "Er", "Fe", "Fe", "Fe", "Fe", "Fe", "Fe", "Fe", "Fe"], "frac_coords": [[0.000, 0.000, 0.000], [0.125, 0.125, 0.125], [0.625, 0.625, 0.625], [0.500, 0.500, 0.500], [0.062, 0.062, 0.561], [0.062, 0.561, 0.062], [0.064, 0.563, 0.563], [0.312, 0.312, 0.312], [0.561, 0.062, 0.062], [0.563, 0.064, 0.563], [0.563, 0.563, 0.064], [0.813, 0.813, 0.813]], "n_ef_per_ev_cell": 17.29, "m_tot_mub_per_atom": 1.157, "spacegroup": "R3m", "e_form_mev_per_atom": -75}